{
  "formula": "Li2CoF6",
  "functional": "PBE+U",
  "state": "relaxed",
  "dos_at_fermi_per_ev_cell": 0.00,
  "total_magnetization_mub_per_cell": 2.010,
  "e_tot_ev_per_cell": -80.496,
  "cell": [[4.6069, 0.0000, 0.0000], [0.0000, 4.6069, 0.0000], [0.0000, 0.0000, 8.9222]],
  "species": ["Li", "Li", "Li", "Li", "Co", "Co", "F", "F", "F", "F", "F", "F", "F", "F", "F", "F", "F", "F"],
  "frac_coords": [[0.0000, 0.0000, 0.1661], [0.0000, 0.0000, 0.8339], [0.5000, 0.5000, 0.3339], [0.5000, 0.5000, 0.6661], [0.0000, 0.0000, 0.5000], [0.5000, 0.5000, 0.0000], [0.1880, 0.1880, 0.3492], [0.1880, 0.1880, 0.6508], [0.2237, 0.2237, 0.0000], [0.2763, 0.7237, 0.5000], [0.3120, 0.6880, 0.1508], [0.3120, 0.6880, 0.8492], [0.6880, 0.3120, 0.1508], [0.6880, 0.3120, 0.8492], [0.7237, 0.2763, 0.5000], [0.7763, 0.7763, 0.0000], [0.8120, 0.8120, 0.3492], [0.8120, 0.8120, 0.6508]]
}